Compound: BeZn2P
Source: Alexandria via LeMat-Bulk
Functional: PBEsol
Structure: optimized geometry

Values from the calculation:
- DFT formation energy: 0.2965 eV/atom
- Relative energy among the computed polymorphs: 3.21 kcal/mol of atoms
- Crystal system: tetragonal
- Magnetization: 0.000 μB per cell
- Volume: 12.90 Å³ per atom
- Total energy: -2.942 eV/atom

a = 2.6629 Å, b = 2.6629 Å, c = 7.2770 Å
α = 90.00°, β = 90.00°, γ = 90.00°
With the nearest neighbours (Å) after each atom.
Space group P4/mmm (No. 123)
One atom of each set of equivalent atoms:
1 Be 0.0000 0.0000 0.0000 x1  8 Zn 2.45, 4 Be 2.66
2 Zn 0.5000 0.5000 0.2164 x2  4 Be 2.45, 4 Zn 2.66
3 P 0.0000 0.0000 0.5000 x1  4 P 2.66, 8 Zn 2.79